Computed, not measured: a relaxed DyScBeAg crystal at the PBE level of DFT.

Cell lengths 4.8689, 4.8689, 4.8689 Å; angles 60.00, 60.00, 60.00 degrees
Last column: nearest neighbours and their distance in Å.
Element x y z (fractional)
1 Sc 0.5000 0.5000 0.5000  4 Be 2.98, 4 Ag 2.98
2 Be 0.7500 0.7500 0.7500  4 Sc 2.98, 4 Dy 2.98
3 Ag 0.2500 0.2500 0.2500  4 Dy 2.98, 4 Sc 2.98
4 Dy 0.0000 0.0000 0.0000  4 Ag 2.98, 4 Be 2.98

Computed properties:
Crystal system ... cubic
Energy relative to the elements ... -55.8 meV/atom
D(E_F) ... 1.129 states/eV/atom

Computed, not measured: a relaxed SbOsBr2 crystal at the PBE level of DFT.

Cell lengths 5.3423, 5.3423, 5.3423 Å; angles 128.67, 128.67, 75.54 degrees
Last column: nearest neighbours and their distance in Å.
Element x y z (fractional)
1 Sb 0.7500 0.2500 0.5000  8 Br 3.13, 4 Os 3.27
2 Os 0.2500 0.7500 0.5000  8 Br 3.13, 4 Sb 3.27
3 Br 0.0000 0.0000 0.0000  4 Sb 3.13, 4 Os 3.13, 4 Br 3.27
4 Br 0.5000 0.5000 0.0000  4 Sb 3.13, 4 Os 3.13, 4 Br 3.27

Computed properties:
Crystal system ... tetragonal
Distance to the lowest polymorph of the same formula ... 1011 meV/atom
D(E_F) ... 0.834 states/eV/atom
E_form (uncorrected) ... 1.29 eV/atom

Computed, not measured: a relaxed LuHfAl2 crystal at the PBE level of DFT.

Cell lengths 3.2678, 3.2678, 9.5324 Å; angles 80.13, 80.13, 60.00 degrees
Last column: nearest neighbours and their distance in Å.
Element x y z (fractional)
1 Lu 0.5000 0.5000 0.5000  6 Al 3.07, 6 Lu 3.27
2 Hf 0.0000 0.0000 0.0000  6 Al 2.93, 6 Hf 3.27
3 Al 0.7468 0.7468 0.7595  3 Hf 2.93, 3 Lu 3.07, 6 Al 3.27
4 Al 0.2532 0.2532 0.2405  3 Hf 2.93, 3 Lu 3.07, 6 Al 3.27

Computed properties:
Crystal system ... trigonal
Energy relative to the elements ... -120.8 meV/atom
Distance to the lowest polymorph of the same formula ... 172 meV/atom
D(E_F) ... 0.956 states/eV/atom

Computed, not measured: a relaxed Sr2TcRu crystal at the PBE level of DFT.

Cell lengths 5.6352, 5.6352, 5.6352 Å; angles 132.55, 132.49, 69.41 degrees
Last column: nearest neighbours and their distance in Å.
Element x y z (fractional)
1 Ru 0.7500 0.2500 0.5000  4 Tc 3.21, 8 Sr 3.24
2 Sr 0.0002 0.0002 0.0000  4 Sr 3.21, 4 Tc 3.24, 4 Ru 3.24
3 Sr 0.4998 0.4998 0.0000  4 Sr 3.21, 4 Tc 3.24, 4 Ru 3.24
4 Tc 0.2500 0.7500 0.5000  4 Ru 3.21, 8 Sr 3.24

Computed properties:
Crystal system ... tetragonal
Energy relative to the elements ... 1027.9 meV/atom
Distance to the lowest polymorph of the same formula ... 851 meV/atom
D(E_F) ... 1.032 states/eV/atom

Computed, not measured: a relaxed IrPd2RuPb crystal at the PBE level of DFT.

Cell lengths 4.9562, 4.6063, 4.9562 Å; angles 90.00, 90.00, 90.00 degrees
Last column: nearest neighbours and their distance in Å.
Element x y z (fractional)
1 Pb 0.5000 0.5000 0.5000  8 Pd 3.38, 4 Ru 3.50
2 Ru 0.0000 0.5000 0.0000  2 Ir 2.30
3 Ir 0.0000 0.0000 0.0000  2 Ru 2.30, 4 Pd 2.48
4 Pd 0.0000 0.0000 0.5000  2 Ir 2.48
5 Pd 0.5000 0.0000 0.0000  2 Ir 2.48

Computed properties:
Crystal system ... tetragonal
Energy relative to the elements ... 986.2 meV/atom
Distance to the lowest polymorph of the same formula ... 0 meV/atom
D(E_F) ... 1.421 states/eV/atom

Computed, not measured: a relaxed Na4AsF2 crystal at the PBE level of DFT.

Cell lengths 5.4758, 5.4758, 7.6239 Å; angles 68.95, 68.95, 90.00 degrees
Last column: nearest neighbours and their distance in Å.
Element x y z (fractional)
1 Na 0.2133 0.2133 0.5733  1 F 2.08
2 Na 0.7867 0.7867 0.4267  1 F 2.08
3 Na 0.0000 0.5000 0.0000  2 As 2.74
4 Na 0.5000 0.0000 0.0000  2 As 2.74
5 As 0.0000 0.0000 0.0000  6 Na 2.74-2.80
6 F 0.3715 0.3715 0.2571  1 Na 2.08
7 F 0.6285 0.6285 0.7429  1 Na 2.08

Computed properties:
Crystal system ... tetragonal
D(E_F) ... 0.340 states/eV/atom
E_form (uncorrected) ... -1.18 eV/atom

Computed, not measured: a relaxed La2Dy3PuAs6 crystal at the PBE level of DFT.

Cell lengths 4.2139, 8.4166, 9.4048 Å; angles 102.86, 102.95, 90.00 degrees
Last column: nearest neighbours and their distance in Å.
Element x y z (fractional)
1 La 0.8341 0.6673 0.6683  6 As 3.03-3.04
2 La 0.1659 0.3327 0.3317  6 As 3.03-3.04
3 Dy 0.5000 0.5000 0.0000  6 As 2.92-2.99
4 Dy 0.8324 0.1660 0.6648  6 As 2.92-2.97
5 Dy 0.1676 0.8340 0.3352  6 As 2.92-2.97
6 Pu 0.5000 0.0000 0.0000  6 As 2.96-2.97
7 As 0.3340 0.9265 0.6680  3 Dy 2.92-2.97, 1 Pu 2.96, 2 La 3.03
8 As 0.6636 0.5913 0.3272  3 Dy 2.92, 3 La 3.04
9 As 0.6660 0.0735 0.3320  3 Dy 2.92-2.97, 1 Pu 2.96, 2 La 3.03
10 As 0.9964 0.2462 0.9927  3 Dy 2.93-2.99, 2 Pu 2.97, 1 La 3.03
11 As 0.0036 0.7538 0.0073  3 Dy 2.93-2.99, 2 Pu 2.97, 1 La 3.03
12 As 0.3364 0.4087 0.6728  3 Dy 2.92, 3 La 3.04

Computed properties:
Crystal system ... monoclinic
Energy relative to the elements ... -1440.0 meV/atom
D(E_F) ... 1.341 states/eV/atom

Computed, not measured: a relaxed AcZrH crystal at the PBE level of DFT.

Cell lengths 3.5550, 3.5550, 5.8599 Å; angles 90.00, 90.00, 120.00 degrees
Last column: nearest neighbours and their distance in Å.
Element x y z (fractional)
1 H 0.3333 0.6667 0.5990  3 Zr 2.24
2 Ac 0.0000 0.0000 0.9537  3 H 2.92
3 Zr 0.6667 0.3333 0.4473  3 H 2.24

Computed properties:
Crystal system ... trigonal
Distance to the lowest polymorph of the same formula ... 0 meV/atom
D(E_F) ... 0.747 states/eV/atom

Computed, not measured: a relaxed SmThIn3 crystal at the PBE level of DFT.

Cell lengths 5.9411, 5.9411, 12.0738 Å; angles 104.24, 104.24, 90.00 degrees
Last column: nearest neighbours and their distance in Å.
Element x y z (fractional)
1 Sm 0.6680 0.1680 0.3360  8 In 3.42-3.60, 1 Sm 3.71
2 Sm 0.8320 0.3320 0.6640  8 In 3.42-3.60, 1 Sm 3.71
3 Th 0.0000 0.0000 0.0000  4 In 3.15
4 Th 0.2500 0.7500 0.5000  8 In 2.98-3.25
5 In 0.6240 0.8781 0.7562  2 In 2.92-3.02, 2 Th 3.15-3.25
6 In 0.1219 0.8678 0.2438  2 In 2.92-3.02, 2 Th 3.15-3.25
7 In 0.1219 0.3760 0.2438  2 In 2.92-3.02, 2 Th 3.15-3.25
8 In 0.1322 0.8781 0.7562  2 In 2.92-3.02, 2 Th 3.15-3.25
9 In 0.2576 0.2576 0.5151  2 Th 2.98
10 In 0.7424 0.7424 0.4849  2 Th 2.98

Computed properties:
Crystal system ... tetragonal
Energy relative to the elements ... 277.6 meV/atom
D(E_F) ... 0.752 states/eV/atom

Computed, not measured: a relaxed Tl2RePPt crystal at the PBE level of DFT.

Cell lengths 5.3477, 4.4266, 5.3477 Å; angles 90.00, 90.00, 90.00 degrees
Last column: nearest neighbours and their distance in Å.
Element x y z (fractional)
1 Re 0.0000 0.0000 0.0000  2 P 2.21
2 Tl 0.0000 0.0000 0.5000  2 Re 2.67
3 Tl 0.5000 0.0000 0.0000  2 Re 2.67
4 Pt 0.5000 0.5000 0.5000  8 Tl 3.47, 4 P 3.78
5 P 0.0000 0.5000 0.0000  2 Re 2.21

Computed properties:
Crystal system ... tetragonal
Energy relative to the elements ... 823.3 meV/atom
D(E_F) ... 1.046 states/eV/atom

Computed, not measured: a relaxed SiAuI2 crystal at the PBE level of DFT.

Cell lengths 5.2716, 5.2716, 5.2716 Å; angles 60.00, 60.00, 60.00 degrees
Last column: nearest neighbours and their distance in Å.
Element x y z (fractional)
1 I 0.2500 0.2500 0.2500  4 Si 3.23, 4 Au 3.23
2 I 0.7500 0.7500 0.7500  4 Si 3.23, 4 Au 3.23
3 Si 0.0000 0.0000 0.0000  8 I 3.23
4 Au 0.5000 0.5000 0.5000  8 I 3.23

Computed properties:
Crystal system ... cubic
Distance to the lowest polymorph of the same formula ... 90 meV/atom
D(E_F) ... 0.629 states/eV/atom
E_form (uncorrected) ... 0.60 eV/atom

Computed, not measured: a relaxed Er3Ag4SbS8 crystal at the PBE level of DFT.

Cell lengths 7.9784, 7.7358, 7.9754 Å; angles 121.17, 120.01, 90.00 degrees
Last column: nearest neighbours and their distance in Å.
Element x y z (fractional)
1 Er 0.5000 0.5000 0.0000  6 S 2.73-2.74
2 Er 0.5000 0.5000 0.5000  6 S 2.73-2.74
3 Er 0.0000 0.5000 0.5000  6 S 2.73-2.74
4 Ag 0.5000 0.0000 0.0000  6 S 2.79-2.80
5 Ag 0.5000 0.0000 0.5000  6 S 2.81-2.83
6 Ag 0.0000 0.0000 0.0000  6 S 2.82
7 Ag 0.0000 0.0000 0.5000  6 S 2.81-2.83
8 Sb 0.0000 0.5000 0.0000  6 S 2.75
9 S 0.2481 0.7404 0.9934  2 Er 2.74, 1 Sb 2.75, 3 Ag 2.80-2.82
10 S 0.2481 0.7404 0.4962  2 Er 2.74, 1 Sb 2.75, 3 Ag 2.79-2.82
11 S 0.2542 0.2637 0.5084  3 Er 2.73, 3 Ag 2.82-2.83
12 S 0.7452 0.7404 0.9934  2 Er 2.74, 1 Sb 2.75, 3 Ag 2.80-2.82
13 S 0.2548 0.2596 0.0066  2 Er 2.74, 1 Sb 2.75, 3 Ag 2.80-2.82
14 S 0.7458 0.7363 0.4916  3 Er 2.73, 3 Ag 2.82-2.83
15 S 0.7519 0.2596 0.5038  2 Er 2.74, 1 Sb 2.75, 3 Ag 2.79-2.82
16 S 0.7519 0.2596 0.0066  2 Er 2.74, 1 Sb 2.75, 3 Ag 2.80-2.82

Computed properties:
Crystal system ... monoclinic
E_form (uncorrected) ... -1.00 eV/atom